(1)
The following is a DFT calculation (GGA-PBE) of a relaxed Ca2CrBTe crystal.

Lattice parameters (Å, degrees): 5.254 5.254 4.656 90.00 90.00 90.00
Space group P4/mmm (No. 123)
One atom of each set of equivalent atoms:
Ca: 0.000 0.500 0.000 x2
Cr: 0.000 0.000 0.500 x1
B: 0.500 0.500 0.000 x1
Te: 0.500 0.500 0.500 x1

## Properties
M_tot in μB per formula unit: 4.92
ρ in Mg/m³: 3.50
Formation energy from raw total energies in eV per atom: 0.464
DOS at the Fermi energy in states/eV/cell: 3.3
DFT total energy in eV/atom: -4.23

(2)
The following is a DFT calculation (GGA-PBE) of a relaxed Ca2TlCrB crystal.

Lattice parameters (Å, degrees): 5.591 5.591 5.117 90.00 90.00 90.00
Space group P4/mmm (No. 123)
One atom of each set of equivalent atoms:
Ca: 0.000 0.500 0.000 x2
Tl: 0.000 0.000 0.500 x1
Cr: 0.000 0.000 0.000 x1
B: 0.500 0.500 0.500 x1

## Properties
M_tot in μB per formula unit: 3.54
ρ in Mg/m³: 3.61
ΔE_f in meV/atom: 1283.7
DOS at the Fermi energy in states/eV/cell: 4.4
DFT total energy in eV/atom: -3.25

(3)
The following is a DFT calculation (GGA-PBE) of a relaxed CsCaB3 crystal.

Lattice parameters (Å, degrees): 5.246 5.246 5.246 90.00 90.00 90.00
Space group Pm-3m (No. 221)
One atom of each set of equivalent atoms:
Cs: 0.000 0.000 0.000 x1
Ca: 0.500 0.500 0.500 x1
B: 0.000 0.500 0.500 x3

## Properties
M_tot in μB per formula unit: 2.89
ρ in Mg/m³: 2.36
Excess energy over the best structure of this formula in the dataset in meV/atom: 0
ΔE_f in meV/atom: 2225.7
DOS at the Fermi energy in states/eV/cell: 5.1
DFT total energy in eV/atom: -2.35

(4)
The following is a DFT calculation (GGA-PBE) of a relaxed CsCaB2 crystal.

Lattice parameters (Å, degrees): 7.218 7.218 7.218 90.00 90.00 90.00
Space group Fm-3m (No. 225)
One atom of each set of equivalent atoms:
Cs: 0.000 0.000 0.000 x4
Ca: 0.000 0.000 0.500 x4
B: 0.250 0.250 0.250 x8

## Properties
M_tot in μB per formula unit: 0.00
ρ in Mg/m³: 3.44
ΔE_f in meV/atom: 1664.4
DOS at the Fermi energy in states/eV/cell: 14.9
DFT total energy in eV/atom: -2.39

(5)
The following is a DFT calculation (GGA-PBE) of a relaxed CsCaB3 crystal.

Lattice parameters (Å, degrees): 4.911 4.911 4.911 90.00 90.00 90.00
Space group Pm-3m (No. 221)
One atom of each set of equivalent atoms:
Cs: 0.000 0.000 0.000 x1
Ca: 0.500 0.500 0.500 x1
B: 0.000 0.000 0.500 x3

## Properties
M_tot in μB per formula unit: 0.21
ρ in Mg/m³: 2.88
Excess energy over the best structure of this formula in the dataset in meV/atom: 437
ΔE_f in meV/atom: 2662.7
DOS at the Fermi energy in states/eV/cell: 3.7
DFT total energy in eV/atom: -1.91

(6)
The following is a DFT calculation (GGA-PBE) of a relaxed Cs3CaB crystal.

Lattice parameters (Å, degrees): 6.914 6.914 6.914 90.00 90.00 90.00
Space group Pm-3m (No. 221)
One atom of each set of equivalent atoms:
Cs: 0.000 0.000 0.500 x3
Ca: 0.500 0.500 0.500 x1
B: 0.000 0.000 0.000 x1

## Properties
M_tot in μB per formula unit: 1.15
ρ in Mg/m³: 2.26
Excess energy over the best structure of this formula in the dataset in meV/atom: 0
ΔE_f in meV/atom: 905.5
DOS at the Fermi energy in states/eV/cell: 5.4
DFT total energy in eV/atom: -1.34